ZnOsN2F | PBE-GGA | relaxed

Summary:
formation energy without anion corrections = 1.52 eV per atom

Lattice parameters (Å, degrees): 3.9316 3.9316 3.7380 90.00 90.00 90.00
Fractional coordinates of all 5 atoms:
Zn  0.0000  0.0000  0.0000
N  0.0000  0.5000  0.0000
N  0.5000  0.0000  0.0000
Os  0.5000  0.5000  0.5000
F  0.0000  0.0000  0.5000